# 1
42
Lattice="-2.716 -4.041 5.850 -2.890 -0.983 -6.972 6.456 -6.821 -1.714" Properties=species:S:1:pos:R:3 comment="LiCrPO4 (GGA+U, optimized geometry)" space_group=P31c magnetic_moment_mub_per_cell=24.0 relative_energy_mev_per_atom=39 vol_a3_per_atom=11.4 pbc="T T T"
O 5.217 -7.513 -1.132
O -1.765 -7.110 -2.449
O 4.330 -4.575 -1.150
O -0.564 -4.399 -3.300
O -1.606 -2.261 -4.196
O 3.437 -10.185 2.794
O 0.074 -4.397 -6.319
O 3.584 -6.645 -4.098
O -2.046 -3.791 1.383
O -1.081 -5.311 -0.391
O 0.419 -4.347 1.423
O 1.998 -6.465 -0.476
O 1.124 -6.182 -3.748
O 1.971 -3.774 -1.656
O 0.248 -8.250 0.035
O 2.722 -8.829 0.117
O 1.716 -7.331 1.907
O -3.031 -3.935 -2.902
O 2.125 -8.333 -2.876
O -1.304 -6.125 2.009
O 1.482 -10.872 -1.835
O 1.836 -7.978 -5.378
O 1.102 -1.165 -0.293
O -1.258 -2.562 -1.687
P 1.631 -7.676 0.407
P -0.982 -4.915 1.100
P 0.053 -0.056 -0.014
P -1.655 -3.247 -3.011
P 2.188 -7.307 -4.031
P 3.281 -3.467 -0.871
Li 1.711 -9.256 2.870
Li -2.663 -5.596 -1.584
Li 0.849 -2.187 -1.924
Li -1.647 -3.544 -5.923
Li 0.572 -9.135 -1.900
Li 4.112 -6.225 -0.149
Cr 3.838 -8.990 -1.852
Cr 2.212 -11.039 0.175
Cr -1.089 -6.348 -4.336
Cr 0.602 -5.424 -1.645
Cr 4.598 -9.080 1.368
Cr 1.277 -4.048 -4.578


# 2
4
Lattice="-3.353 1.047 1.686 -3.092 -2.364 -0.178 -0.284 -3.289 5.979" Properties=species:S:1:pos:R:3 comment="AcMnF2 (GGA+U, optimized geometry)" space_group=R-3m dft_energy_ev_per_cell=-22.8 magnetic_moment_mub_per_cell=3.9 vol_a3_per_atom=21.2 pbc="T T T"
F -5.721 -2.423 3.634
F -1.008 -2.183 3.853
Mn -3.364 -2.303 3.743
Ac 0.000 0.000 0.000